# NaCd3Hg4Pb2 PBE-GGA optimized geometry
# Calculated total energy: -1.237 eV per atom
# Total magnetic moment: 0.000 μB/f.u.
# Calculated volume: 270 Å³/cell
# DOS at the Fermi energy: 0.489 states/eV/atom
# Energy relative to the elements: 0.0313 eV per atom
data_NaCd3Hg4Pb2
_space_group_name_H-M_alt 'P -4 m 2'
_space_group_IT_number 115
_space_group_name_Hall 'P -4 -2'
_cell_length_a 4.4451
_cell_length_b 4.4451
_cell_length_c 13.6846
_cell_angle_alpha 90.00
_cell_angle_beta 90.00
_cell_angle_gamma 90.00
loop_
_atom_site_label
_atom_site_fract_x
_atom_site_fract_y
_atom_site_fract_z
_atom_site_occupancy
Na1 0.0000 0.0000 0.0000 1
Cd1 0.0000 0.5000 0.3514 1
Cd2 0.5000 0.5000 0.0000 1
Hg1 0.0000 0.0000 0.5000 1
Hg2 0.0000 0.5000 0.1452 1
Hg3 0.5000 0.5000 0.5000 1
Pb1 0.0000 0.5000 0.7617 1

# CoNiGe2 PBE-GGA optimized geometry
# Calculated total energy: -5.284 eV per atom
# Total magnetic moment: 0.000 μB/f.u.
# Calculated volume: 229 Å³/cell
# DOS at the Fermi energy: 0.946 states/eV/atom
# Energy relative to the elements: 0.2465 eV per atom
data_CoNiGe2
_space_group_name_H-M_alt 'I -4 2 d'
_space_group_IT_number 122
_space_group_name_Hall 'I -4 2bw'
_cell_length_a 6.4893
_cell_length_b 6.4893
_cell_length_c 5.4329
_cell_angle_alpha 90.00
_cell_angle_beta 90.00
_cell_angle_gamma 90.00
loop_
_atom_site_label
_atom_site_fract_x
_atom_site_fract_y
_atom_site_fract_z
_atom_site_occupancy
Co1 0.0000 0.0000 0.0000 1
Ni1 0.0000 0.0000 0.5000 1
Ge1 0.2463 0.2500 0.1250 1

# Ca2Ac3La4 PBE-GGA optimized geometry
# Calculated total energy: -3.972 eV per atom
# Total magnetic moment: 0.000 μB/f.u.
# Calculated volume: 364 Å³/cell
# DOS at the Fermi energy: 1.493 states/eV/atom
# Energy relative to the elements: 0.0324 eV per atom
data_Ca2Ac3La4
_space_group_name_H-M_alt 'P -1'
_space_group_IT_number 2
_space_group_name_Hall '-P 1'
_cell_length_a 6.6791
_cell_length_b 6.7278
_cell_length_c 9.5801
_cell_angle_alpha 76.68
_cell_angle_beta 83.14
_cell_angle_gamma 60.41
loop_
_atom_site_label
_atom_site_fract_x
_atom_site_fract_y
_atom_site_fract_z
_atom_site_occupancy
Ca1 0.1600 0.3907 0.3321 1
Ac1 0.4935 0.7308 0.3320 1
Ac2 0.5000 0.5000 0.0000 1
La1 0.1652 0.9394 0.6734 1
La2 0.1709 0.1532 0.9960 1

# NdZrTl PBE-GGA optimized geometry
# Calculated total energy: -5.272 eV per atom
# Offset from the most stable computed form: 0 meV/atom
# Total magnetic moment: 0.000 μB/f.u.
# Calculated volume: 343 Å³/cell
# DOS at the Fermi energy: 0.862 states/eV/atom
# Energy relative to the elements: -0.0448 eV per atom
data_NdZrTl
_space_group_name_H-M_alt 'I 4/m m m'
_space_group_IT_number 139
_space_group_name_Hall '-I 4 2'
_cell_length_a 3.5512
_cell_length_b 3.5512
_cell_length_c 27.2064
_cell_angle_alpha 90.00
_cell_angle_beta 90.00
_cell_angle_gamma 90.00
loop_
_atom_site_label
_atom_site_fract_x
_atom_site_fract_y
_atom_site_fract_z
_atom_site_occupancy
Nd1 0.0000 0.0000 0.0680 1
Zr1 0.0000 0.0000 0.2152 1
Tl1 0.0000 0.0000 0.3551 1

# Mg2BeSiPt6 PBE-GGA optimized geometry
# Calculated total energy: -5.405 eV per atom
# Total magnetic moment: 0.000 μB/f.u.
# Formation energy without anion corrections: -5.5 eV per formula unit
# Calculated volume: 537 Å³/cell
# DOS at the Fermi energy: 0.380 states/eV/atom
data_Mg2BeSiPt6
_space_group_name_H-M_alt 'R -3 m'
_space_group_IT_number 166
_space_group_name_Hall '-R 3 2"'
_cell_length_a 5.4782
_cell_length_b 5.4782
_cell_length_c 20.6520
_cell_angle_alpha 90.00
_cell_angle_beta 90.00
_cell_angle_gamma 120.00
loop_
_atom_site_label
_atom_site_fract_x
_atom_site_fract_y
_atom_site_fract_z
_atom_site_occupancy
Mg1 0.0000 0.0000 0.2032 1
Be1 0.0000 0.0000 0.5000 1
Si1 0.0000 0.0000 0.0000 1
Pt1 0.0031 0.5015 0.2474 1

# AcTbGeRh PBE-GGA optimized geometry
# Calculated total energy: -5.726 eV per atom
# Offset from the most stable computed form: 40 meV/atom
# Total magnetic moment: 0.000 μB/f.u.
# Calculated volume: 398 Å³/cell
# DOS at the Fermi energy: 0.820 states/eV/atom
# Energy relative to the elements: -0.5489 eV per atom
data_AcTbGeRh
_space_group_name_H-M_alt 'F -4 3 m'
_space_group_IT_number 216
_space_group_name_Hall 'F -4 2 3'
_cell_length_a 7.3573
_cell_length_b 7.3573
_cell_length_c 7.3573
_cell_angle_alpha 90.00
_cell_angle_beta 90.00
_cell_angle_gamma 90.00
loop_
_atom_site_label
_atom_site_fract_x
_atom_site_fract_y
_atom_site_fract_z
_atom_site_occupancy
Ac1 0.0000 0.0000 0.0000 1
Tb1 0.0000 0.0000 0.5000 1
Ge1 0.2500 0.2500 0.2500 1
Rh1 0.2500 0.2500 0.7500 1